Material: KVO2
Method: DFT, PBE with a Hubbard U
State: relaxed

Calculated values
Volume: 13.91 A^3/atom
Total DFT energy (no corrections): -6.353 eV per atom
Size of the total moment: 2.0 μB per formula unit

Cell lengths 3.1578, 3.1578, 6.4441 Å; angles 90.00, 90.00, 120.00 degrees
Space group P3m1 (No. 156)
Symmetry-distinct sites (fractional):
K: 0.0000 0.0000 0.0000 [1 per cell]
V: 0.6667 0.3333 0.5416 [1 per cell]
O: 0.0000 0.0000 0.3902 [1 per cell]
O: 0.3333 0.6667 0.7176 [1 per cell]